A plane-wave DFT calculation with PBE was carried out for SmIn6Pd6 after structural relaxation.

Its volume is 255 Å³/f.u. The value obtained for the energy of formation is -0.538 eV/atom. The total energy comes out at -4.56 eV/atom.

The space group is Immm (No. 71) and the conventional cell measures 5.6318, 9.2027 and 9.8435 Å, with angles of 90.00, 90.00 and 90.00 degrees. The distinct sites, in fractional coordinates, are Sm at (0.0000, 0.0000, 0.0000), In at (0.0000, 0.0000, 0.3413), In at (0.0000, 0.3377, 0.0000), In at (0.0000, 0.5000, 0.3228), Pd at (0.0000, 0.2611, 0.5000) and Pd at (0.2500, 0.2500, 0.2500).


A plane-wave DFT calculation with PBE was carried out for Sm3InPd2 after structural relaxation.

Its volume is 148 Å³/f.u. The value obtained for the energy of formation is -0.682 eV/atom. The total energy comes out at -5.23 eV/atom.

The space group is P4/mmm (No. 123) and the conventional cell measures 3.6161, 3.6161 and 11.3474 Å, with angles of 90.00, 90.00 and 90.00 degrees. The distinct sites, in fractional coordinates, are Sm at (0.0000, 0.0000, 0.0000), Sm at (0.0000, 0.0000, 0.3114), In at (0.5000, 0.5000, 0.5000) and Pd at (0.5000, 0.5000, 0.1570).


A plane-wave DFT calculation with PBE was carried out for SmInPd after structural relaxation.

Its volume is 69 Å³/f.u. The value obtained for the energy of formation is -0.796 eV/atom. The total energy comes out at -5.01 eV/atom.

The space group is P-62m (No. 189) and the conventional cell measures 7.8148, 7.8148 and 3.9073 Å, with angles of 90.00, 90.00 and 120.00 degrees. The distinct sites, in fractional coordinates, are Sm at (0.0000, 0.5907, 0.0000), In at (0.0000, 0.2572, 0.5000), Pd at (0.0000, 0.0000, 0.0000) and Pd at (0.3333, 0.6667, 0.5000).


A plane-wave DFT calculation with PBE was carried out for Sm3In3Pd2 after structural relaxation.

Its volume is 199 Å³/f.u. The value obtained for the energy of formation is -0.638 eV/atom. The total energy comes out at -4.73 eV/atom.

The space group is Pnma (No. 62) and the conventional cell measures 8.2945, 16.8379 and 5.7114 Å, with angles of 90.00, 90.00 and 90.00 degrees. The distinct sites, in fractional coordinates, are Sm at (0.0350, 0.1111, 0.1147), Sm at (0.1633, 0.2500, 0.6481), In at (0.1778, 0.7500, 0.6528), In at (0.1841, 0.0331, 0.6059) and Pd at (0.1025, 0.6176, 0.3830).


A plane-wave DFT calculation with PBE was carried out for Sm4InPd after structural relaxation.

Its distance to the lowest polymorph of the same formula is 0.083 eV/atom. Its volume is 173 Å³/f.u. The value obtained for the energy of formation is -0.387 eV/atom. The total energy comes out at -4.86 eV/atom.

The space group is C2/c (No. 15) and the conventional cell measures 8.9112, 14.1821 and 5.9049 Å, with angles of 90.00, 111.79 and 90.00 degrees. The distinct sites, in fractional coordinates, are Sm at (0.1145, 0.1879, 0.0711), Sm at (0.2173, 0.4235, 0.3515), In at (0.0000, 0.3812, 0.7500) and Pd at (0.0000, 0.0006, 0.7500).


A plane-wave DFT calculation with PBE was carried out for Sm2In5Pd3 after structural relaxation.

Its distance to the lowest polymorph of the same formula is 0.000 eV/atom. Its volume is 224 Å³/f.u. The value obtained for the energy of formation is -0.635 eV/atom. The total energy comes out at -4.51 eV/atom.

The space group is Cmc2_1 (No. 36) and the conventional cell measures 4.5688, 26.8482 and 7.3083 Å, with angles of 90.00, 90.00 and 90.00 degrees. The distinct sites, in fractional coordinates, are Sm at (0.0000, 0.0216, 0.0000), Sm at (0.0000, 0.3255, 0.0674), In at (0.0000, 0.0985, 0.3694), In at (0.0000, 0.2067, 0.8663), In at (0.0000, 0.2085, 0.2774), In at (0.0000, 0.3756, 0.5206), In at (0.0000, 0.4474, 0.1696), Pd at (0.0000, 0.1085, 0.7551), Pd at (0.0000, 0.2727, 0.5741) and Pd at (0.0000, 0.4539, 0.7802).


A plane-wave DFT calculation with PBE was carried out for SmInPd2 after structural relaxation.

Its volume is 82 Å³/f.u. The value obtained for the energy of formation is -0.656 eV/atom. The total energy comes out at -5.12 eV/atom.

The space group is P4/mmm (No. 123) and the conventional cell measures 4.8126, 4.8126 and 3.5245 Å, with angles of 90.00, 90.00 and 90.00 degrees. The distinct sites, in fractional coordinates, are Sm at (0.0000, 0.0000, 0.0000), In at (0.5000, 0.5000, 0.0000) and Pd at (0.0000, 0.5000, 0.5000).


A plane-wave DFT calculation with PBE was carried out for Sm4In5Pd2 after structural relaxation.

Its volume is 284 Å³/f.u. The value obtained for the energy of formation is -0.602 eV/atom. The total energy comes out at -4.51 eV/atom.

The space group is P2/m (No. 10) and the conventional cell measures 7.7951, 3.7216 and 9.8303 Å, with angles of 90.00, 94.54 and 90.00 degrees. The distinct sites, in fractional coordinates, are Sm at (0.1762, 0.0000, 0.3600), Sm at (0.2312, 0.0000, 0.9403), In at (0.1779, 0.5000, 0.6528), In at (0.4515, 0.5000, 0.1824), In at (0.5000, 0.5000, 0.5000) and Pd at (0.0713, 0.5000, 0.1380).


A plane-wave DFT calculation with PBE was carried out for Sm11In9Pd4 after structural relaxation.

Its volume is 627 Å³/f.u. The value obtained for the energy of formation is -0.659 eV/atom. The total energy comes out at -4.71 eV/atom.

The space group is Cmmm (No. 65) and the conventional cell measures 14.8654, 22.3511 and 3.7729 Å, with angles of 90.00, 90.00 and 90.00 degrees. The distinct sites, in fractional coordinates, are Sm at (0.0000, 0.0000, 0.0000), Sm at (0.0000, 0.1616, 0.0000), Sm at (0.0000, 0.3722, 0.0000), Sm at (0.1917, 0.5000, 0.0000), Sm at (0.2424, 0.1712, 0.0000), In at (0.0000, 0.5000, 0.5000), In at (0.1042, 0.2635, 0.5000), In at (0.1455, 0.0711, 0.5000) and Pd at (0.1527, 0.3990, 0.5000).


A plane-wave DFT calculation with PBE was carried out for Sm2In3Pd4 after structural relaxation.

Its distance to the lowest polymorph of the same formula is 0.004 eV/atom. Its volume is 194 Å³/f.u. The value obtained for the energy of formation is -0.688 eV/atom. The total energy comes out at -4.96 eV/atom.

The space group is C2/m (No. 12) and the conventional cell measures 8.4352, 4.9130 and 9.7718 Å, with angles of 90.00, 106.31 and 90.00 degrees. The distinct sites, in fractional coordinates, are Sm at (0.0990, 0.0000, 0.2849), In at (0.0000, 0.5000, 0.5000), In at (0.2026, 0.5000, 0.0909), Pd at (0.0950, 0.5000, 0.8056) and Pd at (0.1988, 0.0000, 0.6028).


A plane-wave DFT calculation with PBE was carried out for SmInPd4 after structural relaxation.

Its volume is 110 Å³/f.u. The value obtained for the energy of formation is -0.612 eV/atom. The total energy comes out at -5.32 eV/atom.

The space group is C2/m (No. 12) and the conventional cell measures 9.6629, 3.8195 and 6.4254 Å, with angles of 90.00, 111.33 and 90.00 degrees. The distinct sites, in fractional coordinates, are Sm at (0.0000, 0.0000, 0.0000), In at (0.0000, 0.0000, 0.5000), Pd at (0.1626, 0.5000, 0.3458) and Pd at (0.1691, 0.5000, 0.8164).


A plane-wave DFT calculation with PBE was carried out for Sm12InPd6 after structural relaxation.

Its distance to the lowest polymorph of the same formula is 0.113 eV/atom. Its volume is 550 Å³/f.u. The value obtained for the energy of formation is -0.455 eV/atom. The total energy comes out at -5.22 eV/atom.

The space group is R-3 (No. 148, hexagonal axes) and the conventional cell measures 14.4519, 14.4519 and 9.1161 Å, with angles of 90.00, 90.00 and 120.00 degrees. The distinct sites, in fractional coordinates, are Sm at (0.0393, 0.7865, 0.4291), Sm at (0.0586, 0.8809, 0.8249), In at (0.0000, 0.0000, 0.5000) and Pd at (0.0711, 0.5713, 0.7813).


A plane-wave DFT calculation with PBE was carried out for Sm2In3Pd4 after structural relaxation.

Its distance to the lowest polymorph of the same formula is 0.000 eV/atom. Its volume is 191 Å³/f.u. The value obtained for the energy of formation is -0.692 eV/atom. The total energy comes out at -4.96 eV/atom.

The space group is Cmce (No. 64) and the conventional cell measures 6.0162, 16.9707 and 7.4946 Å, with angles of 90.00, 90.00 and 90.00 degrees. The distinct sites, in fractional coordinates, are Sm at (0.0000, 0.1036, 0.0840), In at (0.0000, 0.0000, 0.5000), In at (0.2500, 0.2366, 0.7500), Pd at (0.0000, 0.1651, 0.4760) and Pd at (0.2500, 0.0719, 0.7500).


A plane-wave DFT calculation with PBE was carried out for Sm2InSn3Pd4 after structural relaxation.

Its volume is 224 Å³/f.u. The value obtained for the energy of formation is -0.732 eV/atom. The total energy comes out at -5.23 eV/atom.

The space group is P-4m2 (No. 115) and the conventional cell measures 4.5215, 4.5215 and 10.9368 Å, with angles of 90.00, 90.00 and 90.00 degrees. The distinct sites, in fractional coordinates, are Sm at (0.0000, 0.5000, 0.2423), In at (0.0000, 0.0000, 0.5000), Sn at (0.0000, 0.5000, 0.8720), Sn at (0.5000, 0.5000, 0.5000), Pd at (0.0000, 0.0000, 0.0000), Pd at (0.0000, 0.5000, 0.6363) and Pd at (0.5000, 0.5000, 0.0000).


A plane-wave DFT calculation with PBE was carried out for SrSmInPd after structural relaxation.

Its volume is 110 Å³/f.u. The value obtained for the energy of formation is -0.440 eV/atom. The total energy comes out at -4.02 eV/atom.

The space group is F-43m (No. 216) and the conventional cell measures 7.6005, 7.6005 and 7.6005 Å, with angles of 90.00, 90.00 and 90.00 degrees. The distinct sites, in fractional coordinates, are Sr at (0.0000, 0.0000, 0.0000), Sm at (0.0000, 0.0000, 0.5000), In at (0.2500, 0.2500, 0.2500) and Pd at (0.2500, 0.2500, 0.7500).


A plane-wave DFT calculation with PBE was carried out for TbSmInPd after structural relaxation.

Its volume is 101 Å³/f.u. The value obtained for the energy of formation is -0.572 eV/atom. The total energy comes out at -4.89 eV/atom.

The space group is F-43m (No. 216) and the conventional cell measures 7.3895, 7.3895 and 7.3895 Å, with angles of 90.00, 90.00 and 90.00 degrees. The distinct sites, in fractional coordinates, are Tb at (0.0000, 0.0000, 0.0000), Sm at (0.0000, 0.0000, 0.5000), In at (0.2500, 0.2500, 0.2500) and Pd at (0.2500, 0.2500, 0.7500).


A plane-wave DFT calculation with PBE was carried out for SmTlInPd after structural relaxation.

Its volume is 94 Å³/f.u. The value obtained for the energy of formation is -0.440 eV/atom. The total energy comes out at -4.19 eV/atom.

The space group is F-43m (No. 216) and the conventional cell measures 7.2065, 7.2065 and 7.2065 Å, with angles of 90.00, 90.00 and 90.00 degrees. The distinct sites, in fractional coordinates, are Sm at (0.0000, 0.0000, 0.0000), Tl at (0.2500, 0.2500, 0.2500), In at (0.0000, 0.0000, 0.5000) and Pd at (0.2500, 0.2500, 0.7500).


A plane-wave DFT calculation with PBE was carried out for SmTm2InPd4 after structural relaxation.

Its volume is 164 Å³/f.u. The value obtained for the energy of formation is -0.826 eV/atom. The total energy comes out at -5.47 eV/atom.

The space group is R-3m (No. 166, hexagonal axes) and the conventional cell measures 4.8747, 4.8747 and 23.9727 Å, with angles of 90.00, 90.00 and 120.00 degrees. The distinct sites, in fractional coordinates, are Sm at (0.0000, 0.0000, 0.0000), Tm at (0.0000, 0.0000, 0.2447), In at (0.0000, 0.0000, 0.5000), Pd at (0.0000, 0.0000, 0.1242) and Pd at (0.0000, 0.0000, 0.3779).


A plane-wave DFT calculation with PBE was carried out for SmYInPd after structural relaxation.

Its volume is 101 Å³/f.u. The value obtained for the energy of formation is -0.587 eV/atom. The total energy comes out at -5.37 eV/atom.

The space group is F-43m (No. 216) and the conventional cell measures 7.3807, 7.3807 and 7.3807 Å, with angles of 90.00, 90.00 and 90.00 degrees. The distinct sites, in fractional coordinates, are Sm at (0.0000, 0.0000, 0.0000), Y at (0.0000, 0.0000, 0.5000), In at (0.2500, 0.2500, 0.7500) and Pd at (0.2500, 0.2500, 0.2500).


A plane-wave DFT calculation with PBE was carried out for Sm2Zn2InPd5 after structural relaxation.

Its volume is 186 Å³/f.u. The value obtained for the energy of formation is -0.685 eV/atom. The total energy comes out at -4.75 eV/atom.

The space group is P4/mbm (No. 127) and the conventional cell measures 9.8623, 9.8623 and 3.8257 Å, with angles of 90.00, 90.00 and 90.00 degrees. The distinct sites, in fractional coordinates, are Sm at (0.1770, 0.3230, 0.0000), Zn at (0.1194, 0.6194, 0.0000), In at (0.0000, 0.0000, 0.0000), Pd at (0.0000, 0.5000, 0.5000) and Pd at (0.0660, 0.7907, 0.5000).